(1)
VASP calculation (PBE) on Y5Pt3 after structural relaxation.

POSCAR file:
```
Y5Pt3
1.0
-6.777 4.254 2.950
1.272 -6.938 -4.793
2.771 -3.155 7.441
Pt Y
6 10
direct
0.777 0.778 0.000
0.277 0.277 0.000
0.274 0.087 0.500
0.586 0.775 0.500
0.086 0.586 0.812
0.773 0.274 0.188
0.206 0.706 0.500
0.706 0.207 0.500
0.833 0.121 0.876
0.244 0.957 0.124
0.744 0.621 0.288
0.333 0.457 0.712
0.621 0.333 0.876
0.456 0.745 0.124
0.121 0.245 0.288
0.957 0.833 0.712
```

Calculated values
For the relative energy among the computed polymorphs, the calculation gives 64 meV/atom. As for the formation energy: -0.960 eV/atom. The calculation puts the total DFT energy (no corrections) at -7.266 eV per atom. As for the density: 8.54 g/cm³. As for the space group: No. 8. The density of states at the Fermi level is 18.56 states/eV per cell.

(2)
VASP calculation (PBE) on Y2Pt after structural relaxation.

POSCAR file:
```
Y2Pt
1.0
4.071 0.000 0.000
0.000 6.618 0.000
0.000 0.000 6.638
Y Pt
4 2
direct
0.000 0.250 0.346
0.500 0.250 0.846
0.500 0.750 0.154
0.000 0.750 0.654
0.000 0.000 0.000
0.500 0.500 0.500
```

Calculated values
As for the formation energy: -0.798 eV/atom. The calculation puts the total DFT energy (no corrections) at -7.121 eV per atom. As for the density: 6.93 g/cm³. As for the space group: No. 58. The density of states at the Fermi level is 6.19 states/eV per cell.

(3)
VASP calculation (PBE) on Y3Pt2 after structural relaxation.

POSCAR file:
```
Y3Pt2
1.0
-0.870 6.419 -7.333
-3.801 7.678 -4.726
0.106 8.857 -4.158
Y Pt
3 2
direct
0.000 0.000 0.000
0.777 0.777 0.777
0.223 0.223 0.223
0.607 0.607 0.607
0.393 0.393 0.393
```

Calculated values
For the relative energy among the computed polymorphs, the calculation gives 153 meV/atom. As for the formation energy: -0.901 eV/atom. The calculation puts the total DFT energy (no corrections) at -7.196 eV per atom. As for the density: 7.82 g/cm³. As for the space group: No. 166. The density of states at the Fermi level is 3.60 states/eV per cell.

(4)
VASP calculation (PBE) on Y2Pt after structural relaxation.

POSCAR file:
```
Y2Pt
1.0
-2.049 -2.458 -3.567
6.446 -1.002 -3.013
0.984 -7.484 4.593
Y Pt
8 4
direct
0.750 0.856 0.919
0.250 0.510 0.833
0.250 0.010 0.667
0.750 0.356 0.581
0.250 0.644 0.419
0.750 0.990 0.333
0.750 0.490 0.167
0.250 0.144 0.081
0.750 0.259 0.906
0.750 0.759 0.594
0.250 0.241 0.406
0.250 0.741 0.094
```

Calculated values
As for the formation energy: -0.939 eV/atom. The calculation puts the total DFT energy (no corrections) at -7.262 eV per atom. As for the density: 8.14 g/cm³. As for the space group: No. 62. The density of states at the Fermi level is 14.02 states/eV per cell.

(5)
VASP calculation (PBE) on YPt after structural relaxation.

POSCAR file:
```
YPt
1.0
8.471 0.000 0.000
0.000 8.471 0.000
0.000 0.000 8.471
Y Pt
8 8
direct
0.193 0.193 0.193
0.193 0.807 0.807
0.807 0.193 0.807
0.807 0.807 0.193
0.693 0.693 0.693
0.693 0.307 0.307
0.307 0.693 0.307
0.307 0.307 0.693
0.378 0.378 0.378
0.378 0.622 0.622
0.622 0.378 0.622
0.622 0.622 0.378
0.878 0.878 0.878
0.878 0.122 0.122
0.122 0.878 0.122
0.122 0.122 0.878
```

Calculated values
As for the formation energy: -0.386 eV/atom. The calculation puts the total DFT energy (no corrections) at -6.638 eV per atom. As for the density: 6.21 g/cm³. As for the space group: No. 217. The density of states at the Fermi level is 15.28 states/eV per cell.

(6)
VASP calculation (PBE) on Y2Pt after structural relaxation.

POSCAR file:
```
Y2Pt
1.0
1.784 -8.165 0.000
1.784 8.165 0.000
0.000 0.000 5.166
Y Pt
4 2
direct
0.573 0.427 0.750
0.427 0.573 0.250
0.286 0.714 0.750
0.714 0.286 0.250
0.927 0.073 0.750
0.073 0.927 0.250
```

Calculated values
As for the formation energy: -0.801 eV/atom. The calculation puts the total DFT energy (no corrections) at -7.124 eV per atom. As for the density: 8.23 g/cm³. As for the space group: No. 63. The density of states at the Fermi level is 4.17 states/eV per cell.

(7)
VASP calculation (PBE) on Y2Pt after structural relaxation.

POSCAR file:
```
Y2Pt
1.0
4.115 0.000 0.000
-2.058 3.564 0.000
0.000 0.000 6.171
Pt Y
1 2
direct
0.000 0.000 0.000
0.333 0.667 0.243
0.667 0.333 0.757
```

Calculated values
As for the formation energy: -0.745 eV/atom. The calculation puts the total DFT energy (no corrections) at -7.068 eV per atom. As for the density: 6.84 g/cm³. As for the space group: No. 164. The density of states at the Fermi level is 1.89 states/eV per cell.

(8)
VASP calculation (PBE) on Y2Pt7 after structural relaxation.

POSCAR file:
```
Y2Pt7
1.0
5.403 0.000 0.000
2.701 4.679 0.000
2.701 1.560 13.296
Y Pt
4 14
direct
0.048 0.048 0.855
0.952 0.952 0.145
0.147 0.147 0.559
0.853 0.853 0.441
0.500 0.500 0.500
0.277 0.277 0.168
0.723 0.723 0.832
0.389 0.389 0.832
0.611 0.611 0.168
0.500 0.000 0.000
0.000 0.500 0.000
0.500 0.500 0.000
0.614 0.614 0.663
0.614 0.108 0.663
0.108 0.614 0.663
0.386 0.386 0.337
0.386 0.892 0.337
0.892 0.386 0.337
```

Calculated values
As for the formation energy: -0.856 eV/atom. The calculation puts the total DFT energy (no corrections) at -6.991 eV per atom. As for the density: 15.25 g/cm³. As for the space group: No. 166. The density of states at the Fermi level is 16.38 states/eV per cell.

(9)
VASP calculation (PBE) on YPt5 after structural relaxation.

POSCAR file:
```
YPt5
1.0
3.480 0.000 0.000
0.000 3.480 0.000
0.000 0.000 8.697
Y Pt
1 5
direct
0.500 0.500 0.000
0.000 0.000 0.814
0.000 0.000 0.186
0.500 0.500 0.661
0.500 0.500 0.339
0.000 0.000 0.500
```

Calculated values
As for the formation energy: -0.422 eV/atom. The calculation puts the total DFT energy (no corrections) at -6.534 eV per atom. As for the density: 16.78 g/cm³. As for the space group: No. 123. The density of states at the Fermi level is 6.36 states/eV per cell.

(10)
VASP calculation (PBE) on YPt after structural relaxation.

POSCAR file:
```
YPt
1.0
7.876 0.000 0.000
-3.938 6.821 0.000
0.000 0.000 5.524
Y Pt
6 6
direct
0.747 0.096 0.250
0.651 0.747 0.750
0.904 0.651 0.250
0.253 0.904 0.750
0.349 0.253 0.250
0.096 0.349 0.750
0.135 0.453 0.250
0.681 0.135 0.750
0.547 0.681 0.250
0.865 0.547 0.750
0.319 0.865 0.250
0.453 0.319 0.750
```

Calculated values
As for the formation energy: -1.010 eV/atom. The calculation puts the total DFT energy (no corrections) at -7.263 eV per atom. As for the density: 9.53 g/cm³. As for the space group: No. 176. The density of states at the Fermi level is 6.75 states/eV per cell.

(11)
VASP calculation (PBE) on YPt after structural relaxation.

POSCAR file:
```
YPt
1.0
-2.005 -5.152 0.658
0.741 -1.001 -5.574
10.330 -3.759 2.048
Y Pt
8 8
direct
0.344 0.933 0.520
0.844 0.567 0.480
0.656 0.433 0.980
0.156 0.067 0.020
0.331 0.374 0.303
0.831 0.126 0.697
0.669 0.874 0.197
0.169 0.626 0.803
0.832 0.064 0.437
0.332 0.436 0.563
0.168 0.564 0.063
0.668 0.936 0.937
0.171 0.877 0.270
0.671 0.623 0.730
0.829 0.377 0.230
0.329 0.123 0.770
```

Calculated values
As for the formation energy: -1.172 eV/atom. The calculation puts the total DFT energy (no corrections) at -7.425 eV per atom. As for the density: 10.61 g/cm³. As for the space group: No. 19. The density of states at the Fermi level is 10.66 states/eV per cell.

(12)
VASP calculation (PBE) on Y2Pt after structural relaxation.

POSCAR file:
```
Y2Pt
1.0
-0.484 3.659 -3.183
-3.797 3.037 0.336
0.681 4.601 1.454
Y Pt
2 1
direct
0.750 0.750 0.750
0.250 0.250 0.250
0.000 0.000 0.000
```

Calculated values
As for the formation energy: -0.851 eV/atom. The calculation puts the total DFT energy (no corrections) at -7.174 eV per atom. As for the density: 7.57 g/cm³. As for the space group: No. 225. The density of states at the Fermi level is 2.17 states/eV per cell.

(13)
VASP calculation (PBE) on YPt after structural relaxation.

POSCAR file:
```
YPt
1.0
3.951 0.000 0.000
-1.976 3.422 0.000
0.000 0.000 8.009
Pt Y
2 2
direct
0.000 0.000 0.023
0.333 0.667 0.227
0.000 0.000 0.421
0.333 0.667 0.829
```

Calculated values
As for the formation energy: -0.668 eV/atom. The calculation puts the total DFT energy (no corrections) at -6.920 eV per atom. As for the density: 8.71 g/cm³. As for the space group: No. 164. The density of states at the Fermi level is 1.79 states/eV per cell.

(14)
VASP calculation (PBE) on Y4Pt3 after structural relaxation.

POSCAR file:
```
Y4Pt3
1.0
-1.946 1.946 12.011
1.946 -1.946 12.011
1.946 1.946 -12.011
Y Pt
4 3
direct
0.806 0.806 0.000
0.564 0.564 0.000
0.436 0.436 0.000
0.194 0.194 0.000
0.000 0.000 0.000
0.681 0.681 0.000
0.319 0.319 0.000
```

Calculated values
For the relative energy among the computed polymorphs, the calculation gives 169 meV/atom. As for the formation energy: -0.929 eV/atom. The calculation puts the total DFT energy (no corrections) at -7.212 eV per atom. As for the density: 8.59 g/cm³. As for the space group: No. 139. The density of states at the Fermi level is 4.92 states/eV per cell.

(15)
VASP calculation (PBE) on YPt4 after structural relaxation.

POSCAR file:
```
YPt4
1.0
4.133 0.000 -1.207
-0.649 5.338 -2.222
0.059 0.117 7.881
Y Pt
2 8
direct
0.892 0.142 0.785
0.108 0.858 0.215
0.107 0.357 0.213
0.893 0.643 0.787
0.500 0.000 0.000
0.500 0.500 0.000
0.694 0.211 0.389
0.306 0.789 0.611
0.306 0.323 0.611
0.694 0.677 0.389
```

Calculated values
As for the formation energy: -0.777 eV/atom. The calculation puts the total DFT energy (no corrections) at -6.903 eV per atom. As for the density: 16.46 g/cm³. As for the space group: No. 74. The density of states at the Fermi level is 8.35 states/eV per cell.

(16)
VASP calculation (PBE) on Y2Pt3 after structural relaxation.

POSCAR file:
```
Y2Pt3
1.0
-4.322 -1.084 -1.718
3.448 -3.304 0.047
-1.674 -1.673 5.266
Y Pt
2 3
direct
0.667 0.333 0.288
0.333 0.667 0.712
0.000 0.000 0.000
0.667 0.333 0.788
0.333 0.667 0.212
```

Calculated values
As for the formation energy: -0.931 eV/atom. The calculation puts the total DFT energy (no corrections) at -7.141 eV per atom. As for the density: 11.11 g/cm³. As for the space group: No. 164. The density of states at the Fermi level is 1.76 states/eV per cell.

(17)
VASP calculation (PBE) on Y3Pt2 after structural relaxation.

POSCAR file:
```
Y3Pt2
1.0
4.880 0.000 0.000
-2.440 4.227 0.000
0.000 0.000 6.055
Pt Y
2 3
direct
0.667 0.333 0.178
0.333 0.667 0.822
0.000 0.000 0.000
0.667 0.333 0.664
0.333 0.667 0.336
```

Calculated values
For the relative energy among the computed polymorphs, the calculation gives 22 meV/atom. As for the formation energy: -1.032 eV/atom. The calculation puts the total DFT energy (no corrections) at -7.327 eV per atom. As for the density: 8.73 g/cm³. As for the space group: No. 164. The density of states at the Fermi level is 2.64 states/eV per cell.

(18)
VASP calculation (PBE) on Y5Pt3 after structural relaxation.

POSCAR file:
```
Y5Pt3
1.0
3.805 -5.336 0.000
3.805 5.336 0.000
0.000 0.000 4.789
Y Pt
5 3
direct
0.000 0.000 0.000
0.500 0.000 0.000
0.000 0.500 0.000
0.712 0.712 0.500
0.288 0.288 0.500
0.500 0.500 0.000
0.819 0.181 0.500
0.181 0.819 0.500
```

Calculated values
For the relative energy among the computed polymorphs, the calculation gives 188 meV/atom. As for the formation energy: -0.836 eV/atom. The calculation puts the total DFT energy (no corrections) at -7.141 eV per atom. As for the density: 8.79 g/cm³. As for the space group: No. 65. The density of states at the Fermi level is 5.51 states/eV per cell.

(19)
VASP calculation (PBE) on Y3Pt2 after structural relaxation.

POSCAR file:
```
Y3Pt2
1.0
-7.070 -1.988 -1.852
-5.742 4.525 0.551
-2.835 2.261 -6.067
Y Pt
6 4
direct
0.708 0.618 0.282
0.282 0.392 0.708
0.632 0.542 0.858
0.858 0.968 0.632
0.062 0.938 0.062
0.312 0.188 0.312
0.292 0.789 0.656
0.656 0.263 0.292
0.461 0.958 0.987
0.987 0.594 0.461
```

Calculated values
For the relative energy among the computed polymorphs, the calculation gives 146 meV/atom. As for the formation energy: -0.908 eV/atom. The calculation puts the total DFT energy (no corrections) at -7.203 eV per atom. As for the density: 7.92 g/cm³. As for the space group: No. 43. The density of states at the Fermi level is 7.72 states/eV per cell.

(20)
VASP calculation (PBE) on Y2Pt after structural relaxation.

POSCAR file:
```
Y2Pt
1.0
7.433 0.000 0.000
-3.717 6.437 0.000
0.000 0.000 4.760
Pt Y
3 6
direct
0.000 0.000 0.500
0.333 0.667 0.000
0.667 0.333 0.000
0.000 0.262 0.000
0.000 0.592 0.500
0.262 0.000 0.000
0.738 0.738 0.000
0.592 0.000 0.500
0.408 0.408 0.500
```

Calculated values
As for the formation energy: -0.875 eV/atom. The calculation puts the total DFT energy (no corrections) at -7.198 eV per atom. As for the density: 8.16 g/cm³. As for the space group: No. 189. The density of states at the Fermi level is 10.29 states/eV per cell.